Compound: PbS2Br
Source: Alexandria via LeMat-Bulk
Functional: GGA-PBE
Structure: optimized geometry

## Properties
* crystal system: tetragonal
* Fermi-level density of states: 5.67 states/eV per cell
* energy relative to the lowest polymorph listed for this composition: 0.629 eV/atom
* formation energy without anion corrections: 0.261 eV per atom
* total DFT energy (no corrections): -12.593 eV/f.u.

Structure (POSCAR):
```
PbS2Br
1.0
-3.699 3.699 4.174
3.699 -3.699 4.174
3.699 3.699 -4.174
Pb S Br
2 4 2
Cartesian
0.000 0.000 0.000
0.000 3.699 2.087
5.548 1.566 -1.044
1.566 1.849 1.044
-1.849 2.133 3.131
2.133 1.849 5.218
3.699 0.000 2.087
0.000 0.000 4.174
```